Entry 1:
Crystalline Zr4MnRh at its relaxed geometry, computed with PBE.

Cell and atoms, written as POSCAR:
```
Zr4MnRh
1.0
-4.956 -2.567 0.551
-2.820 0.356 4.835
-4.711 3.030 0.282
Zr Mn Rh
4 1 1
direct
0.876 0.375 0.375
0.375 0.375 0.876
0.375 0.876 0.375
0.375 0.375 0.375
0.750 0.750 0.750
0.000 0.000 0.000
```

Computed properties:
energy of formation from the pure elements: 2.79 eV/f.u.
calculated volume: 20.79 Å³ per atom
D(E_F): 7.69 states/eV per cell
space group: F-43m (216)

Entry 2:
Crystalline Ta3TcIr at its relaxed geometry, computed with PBE.

Cell and atoms, written as POSCAR:
```
Ta3TcIr
1.0
-2.025 3.800 2.093
1.246 -1.703 4.297
4.155 2.362 -0.268
Ir Tc Ta
1 1 3
direct
0.000 0.000 0.000
0.500 0.500 0.500
0.000 0.500 0.000
0.000 0.000 0.500
0.500 0.000 0.000
```

Computed properties:
energy of formation from the pure elements: 6.89 eV/f.u.
calculated volume: 21.94 Å³ per atom
D(E_F): 6.65 states/eV per cell
space group: Pm-3m (221)

Entry 3:
Crystalline Sm6Ga3Ag at its relaxed geometry, computed with PBE.

Cell and atoms, written as POSCAR:
```
Sm6Ga3Ag
1.0
-0.173 -6.332 -4.402
7.736 0.942 -1.659
2.231 -5.143 7.483
Sm Ga Ag
12 6 2
direct
0.656 0.169 0.936
0.667 0.169 0.569
0.735 0.400 0.245
0.265 0.600 0.755
0.333 0.831 0.431
0.344 0.831 0.064
0.156 0.331 0.436
0.167 0.331 0.069
0.235 0.100 0.745
0.765 0.900 0.255
0.833 0.669 0.931
0.844 0.669 0.564
0.552 0.863 0.748
0.500 0.500 0.000
0.448 0.137 0.252
0.052 0.637 0.248
0.000 0.000 0.500
0.948 0.363 0.752
0.500 0.500 0.500
0.000 0.000 0.000
```

Computed properties:
energy of formation from the pure elements: -2.39 eV/f.u.
calculated volume: 28.73 Å³ per atom
D(E_F): 18.97 states/eV per cell
space group: P2_1/c (14)